# 1
## Hg4RuPb (PBE-GGA)

Data for Hg4RuPb after structural relaxation.

## Properties
E_form, eV/atom: 0.6213

Structure (CIF):
```
data_Hg4RuPb
_symmetry_space_group_name_H-M 'F -4 3 m'
_symmetry_Int_Tables_number 216
_symmetry_space_group_name_Hall 'F -4 2 3'
_cell_length_a 8.2133
_cell_length_b 8.2133
_cell_length_c 8.2133
_cell_angle_alpha 90.00
_cell_angle_beta 90.00
_cell_angle_gamma 90.00
loop_
_atom_site_label
_atom_site_fract_x
_atom_site_fract_y
_atom_site_fract_z
_atom_site_occupancy
Hg1 0.1242 0.1242 0.3758 1
Ru1 0.2500 0.2500 0.7500 1
Pb1 0.0000 0.0000 0.0000 1
```

=====

# 2
## LiTaAs (PBE-GGA)

Data for LiTaAs after structural relaxation.

## Properties
E_form, eV/atom: 0.0752
Energy above the most stable polymorph in this dataset, meV per atom: 576

Structure (CIF):
```
data_LiTaAs
_symmetry_space_group_name_H-M 'F -4 3 m'
_symmetry_Int_Tables_number 216
_symmetry_space_group_name_Hall 'F -4 2 3'
_cell_length_a 5.9968
_cell_length_b 5.9968
_cell_length_c 5.9968
_cell_angle_alpha 90.00
_cell_angle_beta 90.00
_cell_angle_gamma 90.00
loop_
_atom_site_label
_atom_site_fract_x
_atom_site_fract_y
_atom_site_fract_z
_atom_site_occupancy
Li1 0.0000 0.0000 0.0000 1
Ta1 0.0000 0.0000 0.5000 1
As1 0.2500 0.2500 0.7500 1
```

=====

# 3
## Ta3H3Pt (PBE-GGA)

Data for Ta3H3Pt after structural relaxation.

## Properties
DFT total energy, eV/atom: -7.62

Structure (CIF):
```
data_Ta3H3Pt
_symmetry_space_group_name_H-M 'P m -3 n'
_symmetry_Int_Tables_number 223
_symmetry_space_group_name_Hall '-P 4n 2 3'
_cell_length_a 5.3736
_cell_length_b 5.3736
_cell_length_c 5.3736
_cell_angle_alpha 90.00
_cell_angle_beta 90.00
_cell_angle_gamma 90.00
loop_
_atom_site_label
_atom_site_fract_x
_atom_site_fract_y
_atom_site_fract_z
_atom_site_occupancy
Ta1 0.0000 0.2500 0.5000 1
H1 0.0000 0.5000 0.2500 1
Pt1 0.0000 0.0000 0.0000 1
```